No. 1
# Na2AgBi2

A relaxed structure of Na2AgBi2 (PBE, Alexandria).

a = 6.369 Å, b = 6.369 Å, c = 11.534 Å
α = 113.76°, β = 113.76°, γ = 44.91°
Fractional positions:
Na 0.002 0.002 0.327
Na 0.180 0.180 0.109
Na 0.820 0.820 0.891
Na 0.998 0.998 0.673
Ag 0.284 0.284 0.670
Ag 0.716 0.716 0.330
Bi 0.355 0.355 0.444
Bi 0.472 0.472 0.116
Bi 0.528 0.528 0.884
Bi 0.645 0.645 0.556

Calculated values
Space group: C2/m

***

No. 2
# NaAg2Bi

A relaxed structure of NaAg2Bi (PBE, Alexandria).

a = 4.659 Å, b = 4.659 Å, c = 4.188 Å
α = 90.00°, β = 90.00°, γ = 90.00°
Fractional positions:
Na 0.000 0.000 0.000
Ag 0.000 0.500 0.500
Ag 0.500 0.000 0.500
Bi 0.500 0.500 0.000

Calculated values
Space group: P4/mmm

***

No. 3
# Na3AgBi

A relaxed structure of Na3AgBi (PBE, Alexandria).

a = 7.650 Å, b = 7.650 Å, c = 7.650 Å
α = 86.30°, β = 118.79°, γ = 125.65°
Fractional positions:
Na 0.249 0.016 0.265
Na 0.249 0.484 0.732
Na 0.692 0.497 0.695
Na 0.751 0.516 0.268
Na 0.751 0.984 0.735
Na 0.802 0.997 0.305
Ag 0.247 0.747 0.000
Ag 0.747 0.247 0.000
Bi 0.211 0.998 0.714
Bi 0.284 0.498 0.286

Calculated values
Space group: Ima2

***

No. 4
# NaAg5Bi2

A relaxed structure of NaAg5Bi2 (PBE, Alexandria).

a = 4.621 Å, b = 8.241 Å, c = 10.390 Å
α = 90.00°, β = 90.00°, γ = 90.00°
Fractional positions:
Na 0.000 0.000 0.000
Na 0.500 0.500 0.500
Ag 0.000 0.170 0.361
Ag 0.000 0.170 0.639
Ag 0.000 0.500 0.000
Ag 0.000 0.830 0.361
Ag 0.000 0.830 0.639
Ag 0.500 0.000 0.500
Ag 0.500 0.330 0.139
Ag 0.500 0.330 0.861
Ag 0.500 0.670 0.139
Ag 0.500 0.670 0.861
Bi 0.000 0.500 0.276
Bi 0.000 0.500 0.724
Bi 0.500 0.000 0.224
Bi 0.500 0.000 0.776

Calculated values
Space group: Immm

***

No. 5
# Na2AgBi2

A relaxed structure of Na2AgBi2 (PBE, Alexandria).

a = 4.236 Å, b = 4.236 Å, c = 16.178 Å
α = 90.00°, β = 90.00°, γ = 90.00°
Fractional positions:
Na 0.000 0.500 0.250
Na 0.000 0.500 0.750
Na 0.500 0.000 0.250
Na 0.500 0.000 0.750
Ag 0.000 0.000 0.000
Ag 0.500 0.500 0.500
Bi 0.000 0.000 0.407
Bi 0.000 0.000 0.593
Bi 0.500 0.500 0.093
Bi 0.500 0.500 0.907

Calculated values
Space group: I4/mmm

***

No. 6
# NaAgBi2

A relaxed structure of NaAgBi2 (PBE, Alexandria).

a = 4.819 Å, b = 4.819 Å, c = 4.545 Å
α = 90.00°, β = 90.00°, γ = 90.00°
Fractional positions:
Na 0.000 0.000 0.000
Ag 0.500 0.500 0.000
Bi 0.000 0.500 0.500
Bi 0.500 0.000 0.500

Calculated values
Space group: P4/mmm

***

No. 7
# NaAg3Bi5

A relaxed structure of NaAg3Bi5 (PBE, Alexandria).

a = 6.926 Å, b = 6.926 Å, c = 12.542 Å
α = 102.02°, β = 102.02°, γ = 84.00°
Fractional positions:
Na 0.081 0.081 0.267
Na 0.919 0.919 0.733
Ag 0.000 0.000 0.000
Ag 0.000 0.000 0.500
Ag 0.371 0.371 0.814
Ag 0.403 0.403 0.311
Ag 0.597 0.597 0.689
Ag 0.629 0.629 0.186
Bi 0.015 0.638 0.335
Bi 0.291 0.291 0.079
Bi 0.301 0.699 0.000
Bi 0.332 0.332 0.533
Bi 0.362 0.985 0.665
Bi 0.638 0.015 0.335
Bi 0.668 0.668 0.467
Bi 0.699 0.301 0.000
Bi 0.709 0.709 0.921
Bi 0.985 0.362 0.665

Calculated values
Space group: C2/m

***

No. 8
# NaAg2Bi

A relaxed structure of NaAg2Bi (PBE, Alexandria).

a = 3.763 Å, b = 3.763 Å, c = 6.511 Å
α = 90.00°, β = 90.00°, γ = 90.00°
Fractional positions:
Na 0.000 0.000 0.000
Ag 0.500 0.500 0.239
Ag 0.500 0.500 0.761
Bi 0.000 0.000 0.500

Calculated values
Space group: P4/mmm

***

No. 9
# NaAgBi2

A relaxed structure of NaAgBi2 (PBE, Alexandria).

a = 4.552 Å, b = 8.458 Å, c = 6.314 Å
α = 90.00°, β = 110.88°, γ = 90.00°
Fractional positions:
Na 0.061 0.250 0.122
Na 0.939 0.750 0.878
Ag 0.219 0.750 0.436
Ag 0.781 0.250 0.564
Bi 0.365 0.040 0.733
Bi 0.365 0.460 0.733
Bi 0.635 0.540 0.267
Bi 0.635 0.960 0.267

Calculated values
Space group: P2_1/m

***

No. 10
# NaAg2Bi

A relaxed structure of NaAg2Bi (PBE, Alexandria).

a = 4.873 Å, b = 4.873 Å, c = 19.351 Å
α = 90.00°, β = 90.00°, γ = 90.00°
Fractional positions:
Na 0.000 0.000 0.000
Na 0.000 0.500 0.250
Na 0.500 0.000 0.750
Na 0.500 0.500 0.500
Ag 0.169 0.250 0.625
Ag 0.250 0.669 0.875
Ag 0.250 0.831 0.375
Ag 0.331 0.250 0.125
Ag 0.669 0.750 0.125
Ag 0.750 0.169 0.375
Ag 0.750 0.331 0.875
Ag 0.831 0.750 0.625
Bi 0.000 0.000 0.500
Bi 0.000 0.500 0.750
Bi 0.500 0.000 0.250
Bi 0.500 0.500 0.000

Calculated values
Space group: I-42d

***

No. 11
# NaAg2Bi

A relaxed structure of NaAg2Bi (PBE, Alexandria).

a = 4.930 Å, b = 8.153 Å, c = 5.959 Å
α = 90.00°, β = 114.28°, γ = 90.00°
Fractional positions:
Na 0.063 0.250 0.129
Na 0.937 0.750 0.871
Ag 0.234 0.576 0.468
Ag 0.234 0.924 0.468
Ag 0.766 0.076 0.532
Ag 0.766 0.424 0.532
Bi 0.365 0.250 0.731
Bi 0.635 0.750 0.269

Calculated values
Space group: P2_1/m

***

No. 12
# NaAg6Bi

A relaxed structure of NaAg6Bi (PBE, Alexandria).

a = 5.036 Å, b = 6.099 Å, c = 10.601 Å
α = 90.00°, β = 90.00°, γ = 90.00°
Fractional positions:
Na 0.000 0.000 0.000
Na 0.000 0.500 0.500
Ag 0.000 0.000 0.491
Ag 0.000 0.239 0.254
Ag 0.000 0.261 0.754
Ag 0.000 0.500 0.991
Ag 0.000 0.739 0.754
Ag 0.000 0.761 0.254
Ag 0.500 0.000 0.170
Ag 0.500 0.244 0.414
Ag 0.500 0.256 0.914
Ag 0.500 0.500 0.670
Ag 0.500 0.744 0.914
Ag 0.500 0.756 0.414
Bi 0.500 0.000 0.666
Bi 0.500 0.500 0.166

Calculated values
Space group: Amm2

***

DFT formation energy for the records above, in order: -0.196 -0.040 -0.121 0.058 0.169 -0.084 0.121 0.035 -0.094 0.129 -0.068 0.041 eV per atom